Th6InAu | PBE | optimized geometry

Summary:
The formation energy comes out at 0.05 eV/atom.

abc: 6.828 6.828 6.823
angles: 108.82 108.82 108.75
Element x y z (fractional)
Th (0.241, 0.241, 0.709)
Th (0.710, 0.242, 0.242)
Th (0.759, 0.759, 0.291)
Th (0.758, 0.290, 0.758)
Th (0.290, 0.758, 0.758)
Th (0.242, 0.710, 0.242)
In (0.000, 0.000, 0.000)
Au (0.500, 0.500, 0.500)


ThInAu2 | PBE | optimized geometry

Summary:
The formation energy comes out at -0.64 eV/atom.

abc: 5.078 5.078 5.078
angles: 60.00 60.00 60.00
Element x y z (fractional)
Au (0.250, 0.250, 0.250)
Au (0.750, 0.750, 0.750)
Th (0.500, 0.500, 0.500)
In (0.000, 0.000, 0.000)


Th2In3Au4 | PBE | optimized geometry

Summary:
The formation energy comes out at -0.43 eV/atom.

abc: 6.373 8.111 8.764
angles: 90.00 111.32 90.00
Element x y z (fractional)
Th (0.110, 0.588, 0.220)
Th (0.890, 0.412, 0.780)
Th (0.390, 0.088, 0.780)
Th (0.610, 0.912, 0.220)
In (0.000, 0.000, 0.000)
In (0.500, 0.500, 0.000)
In (0.529, 0.750, 0.557)
In (0.971, 0.250, 0.443)
In (0.471, 0.250, 0.443)
In (0.029, 0.750, 0.557)
Au (0.701, 0.750, 0.902)
Au (0.799, 0.250, 0.098)
Au (0.299, 0.250, 0.098)
Au (0.201, 0.750, 0.902)
Au (0.175, 0.957, 0.350)
Au (0.825, 0.043, 0.650)
Au (0.325, 0.457, 0.650)
Au (0.675, 0.543, 0.350)


Th7InAu2 | PBE | optimized geometry

Summary:
The formation energy comes out at 0.23 eV/atom.

abc: 5.108 8.920 8.920
angles: 119.44 90.00 90.00
Element x y z (fractional)
Th (0.000, 0.768, 0.232)
Th (0.000, 0.232, 0.768)
Th (0.500, 0.063, 0.294)
Th (0.500, 0.937, 0.706)
Th (0.500, 0.294, 0.063)
Th (0.500, 0.706, 0.937)
Th (0.500, 0.500, 0.500)
In (0.000, 0.000, 0.000)
Au (0.500, 0.689, 0.311)
Au (0.500, 0.311, 0.689)


ThInAu2 | PBE | optimized geometry

Summary:
The formation energy comes out at -0.43 eV/atom.

abc: 3.990 4.882 4.882
angles: 90.00 90.00 90.00
Element x y z (fractional)
Au (0.000, 0.000, 0.500)
Au (0.000, 0.500, 0.000)
Th (0.500, 0.000, 0.000)
In (0.500, 0.500, 0.500)


ThInAu3 | PBE | optimized geometry

Summary:
The calculation puts the energy relative to the lowest polymorph listed for this composition at 0 meV per atom. The formation energy comes out at -0.49 eV/atom.

abc: 4.777 3.492 13.676
angles: 97.33 90.00 90.00
Element x y z (fractional)
Th (0.250, 0.077, 0.155)
Th (0.750, 0.923, 0.845)
In (0.250, 0.787, 0.574)
In (0.750, 0.213, 0.426)
Au (0.250, 0.374, 0.747)
Au (0.750, 0.626, 0.253)
Au (0.250, 0.475, 0.950)
Au (0.750, 0.525, 0.050)
Au (0.750, 0.317, 0.633)
Au (0.250, 0.683, 0.367)


ThInAu2 | PBE | optimized geometry

Summary:
The formation energy comes out at -0.45 eV/atom.

abc: 3.539 3.539 7.429
angles: 90.00 90.00 90.00
Element x y z (fractional)
Au (0.000, 0.000, 0.764)
Au (0.000, 0.000, 0.236)
Th (0.500, 0.500, 0.500)
In (0.500, 0.500, 0.000)


Th4In3Au | PBE | optimized geometry

Summary:
The formation energy comes out at -0.37 eV/atom.

abc: 3.498 3.498 18.122
angles: 90.00 90.00 90.00
Element x y z (fractional)
Au (0.500, 0.500, 0.000)
Th (0.000, 0.000, 0.886)
Th (0.000, 0.000, 0.114)
Th (0.000, 0.000, 0.372)
Th (0.000, 0.000, 0.628)
In (0.500, 0.500, 0.243)
In (0.500, 0.500, 0.500)
In (0.500, 0.500, 0.757)